Record 1
La2TiPtSe GGA-PBE optimized geometry; crystal system = tetragonal; symmetry = P4/mmm (123)
1.0
5.600 0.000 0.000
0.000 5.600 0.000
0.000 0.000 5.102
La Ti Pt Se
2 1 1 1
Cartesian
0.000 2.800 0.000
2.800 0.000 0.000
0.000 0.000 2.551
2.800 2.800 0.000
2.800 2.800 2.551

---

Record 2
LaSi2Pt2 GGA-PBE optimized geometry; crystal system = tetragonal; symmetry = P4/nmm (129)
1.0
4.325 0.000 0.000
0.000 4.325 0.000
0.000 0.000 9.870
La Si Pt
2 4 4
Cartesian
1.081 1.081 2.415
3.244 3.244 7.454
1.081 1.081 6.207
1.081 3.244 0.000
3.244 1.081 0.000
3.244 3.244 3.662
1.081 1.081 8.682
1.081 3.244 4.935
3.244 1.081 4.935
3.244 3.244 1.187

---

Record 3
LaSi2Pt5 GGA-PBE optimized geometry; crystal system = orthorhombic; symmetry = Immm (71)
1.0
-2.000 3.539 4.890
2.000 -3.539 4.890
2.000 3.539 -4.890
La Si Pt
1 2 5
Cartesian
0.000 0.000 0.000
2.000 0.000 2.491
0.000 3.539 2.399
2.000 2.133 -1.469
2.000 2.133 1.469
0.000 3.539 0.000
0.000 1.405 3.421
0.000 1.405 6.358

---

Record 4
LaSiPt GGA-PBE optimized geometry; crystal system = tetragonal; symmetry = I4_1md (109)
1.0
-2.137 2.137 7.318
2.137 -2.137 7.318
2.137 2.137 -7.318
La Si Pt
2 2 2
Cartesian
0.000 0.000 0.000
0.000 2.137 3.659
2.137 0.000 2.482
0.000 0.000 6.141
2.137 0.000 4.939
0.000 0.000 8.598

---

Record 5
LaSi4Pt GGA-PBE optimized geometry; crystal system = cubic; symmetry = F-43m (216)
1.0
0.000 3.754 3.754
3.754 0.000 3.754
3.754 3.754 0.000
La Si Pt
1 4 1
Cartesian
0.000 0.000 0.000
2.835 2.835 2.835
4.674 4.674 2.835
4.674 2.835 4.674
2.835 4.674 4.674
5.632 5.632 5.632

---

Record 6
La3Si2Pt7 GGA-PBE optimized geometry; crystal system = orthorhombic; symmetry = Cmmm (65)
1.0
2.112 -14.576 0.000
2.112 14.576 0.000
0.000 0.000 4.097
La Si Pt
3 2 7
Cartesian
0.000 0.000 0.000
2.112 8.786 0.000
2.112 -8.786 0.000
2.112 2.360 2.049
2.112 -2.360 2.049
2.112 11.082 2.049
2.112 6.161 2.049
2.112 3.548 0.000
2.112 0.000 2.049
2.112 -3.548 0.000
2.112 -6.161 2.049
2.112 -11.082 2.049

---

Record 7
LaSiPt2 GGA-PBE optimized geometry; crystal system = orthorhombic; symmetry = Pnma (62)
1.0
7.655 0.000 0.000
0.000 6.907 0.000
0.000 0.000 5.851
La Si Pt
4 4 8
Cartesian
0.194 1.727 0.841
3.633 5.180 3.766
4.021 1.727 2.085
7.461 5.180 5.011
0.983 5.180 2.081
2.844 1.727 5.007
4.811 5.180 0.844
6.671 1.727 3.770
1.341 0.351 3.446
1.341 3.102 3.446
2.486 3.805 0.520
2.486 6.556 0.520
5.169 0.351 5.331
5.169 3.102 5.331
6.314 3.805 2.405
6.314 6.556 2.405

---

Record 8
LaSi2Pt2 GGA-PBE optimized geometry; crystal system = tetragonal; symmetry = I4/mmm (139)
1.0
-2.177 2.177 4.983
2.177 -2.177 4.983
2.177 2.177 -4.983
La Si Pt
1 2 2
Cartesian
0.000 0.000 0.000
2.177 0.000 2.492
0.000 2.177 2.492
0.000 0.000 3.599
0.000 0.000 6.368

---

Record 9
La2Si7Pt12 GGA-PBE optimized geometry; crystal system = hexagonal; symmetry = P-6 (174)
1.0
10.019 0.000 0.000
-5.010 8.677 0.000
0.000 0.000 4.012
La Si Pt
2 7 12
Cartesian
0.000 0.000 0.000
0.000 5.784 2.006
-2.430 5.376 0.000
2.455 0.380 2.006
1.568 3.884 0.000
0.861 8.093 0.000
5.010 2.892 0.000
4.111 6.360 2.006
8.462 1.936 2.006
-3.459 6.804 2.006
-0.842 3.502 0.000
0.847 2.279 2.006
-1.556 7.655 0.000
2.915 1.863 0.000
4.871 0.646 2.006
3.133 4.136 2.006
2.398 6.196 0.000
2.612 8.271 2.006
6.948 1.593 0.000
5.165 5.220 0.000
7.024 3.896 2.006

---

Record 10
LaSi3Pt GGA-PBE optimized geometry; crystal system = cubic; symmetry = Pm-3m (221)
1.0
4.810 0.000 0.000
0.000 4.810 0.000
0.000 0.000 4.810
La Si Pt
1 3 1
Cartesian
0.000 0.000 0.000
0.000 2.405 2.405
2.405 0.000 2.405
2.405 2.405 0.000
2.405 2.405 2.405

---

Record 11
LaSiPt GGA-PBE optimized geometry; crystal system = cubic; symmetry = F-43m (216)
1.0
0.000 3.312 3.312
3.312 0.000 3.312
3.312 3.312 0.000
La Si Pt
1 1 1
Cartesian
0.000 0.000 0.000
3.312 3.312 3.312
4.968 4.968 4.968

---

Record 12
LaSi2Pt8 GGA-PBE optimized geometry; crystal system = tetragonal; symmetry = P4/mmm (123)
1.0
5.434 0.000 0.000
0.000 5.434 0.000
0.000 0.000 7.783
La Si Pt
1 2 8
Cartesian
0.000 0.000 0.000
0.000 2.717 3.891
2.717 0.000 3.891
1.372 1.372 2.352
1.372 1.372 5.431
1.372 4.062 2.352
1.372 4.062 5.431
4.062 1.372 2.352
4.062 1.372 5.431
4.062 4.062 2.352
4.062 4.062 5.431

---

Number 1: raw total energy -5.455 eV/atom, size of the total moment 3.6 Bohr magnetons per cell. Number 2: raw total energy -6.703 eV/atom, size of the total moment 0.0 Bohr magnetons per cell. Number 3: raw total energy -6.681 eV/atom, size of the total moment 0.0 Bohr magnetons per cell. Number 4: raw total energy -6.633 eV/atom, size of the total moment 0.0 Bohr magnetons per cell. Number 5: raw total energy -5.482 eV/atom, size of the total moment 0.0 Bohr magnetons per cell. Number 6: raw total energy -6.601 eV/atom, size of the total moment 0.0 Bohr magnetons per cell. Number 7: raw total energy -6.704 eV/atom, size of the total moment 0.0 Bohr magnetons per cell. Number 8: raw total energy -6.650 eV/atom, size of the total moment 0.0 Bohr magnetons per cell. Number 9: raw total energy -6.621 eV/atom, size of the total moment 0.0 Bohr magnetons per cell. Number 10: raw total energy -5.429 eV/atom, size of the total moment 0.0 Bohr magnetons per cell. Number 11: raw total energy -6.167 eV/atom, size of the total moment 0.0 Bohr magnetons per cell. Number 12: raw total energy -6.281 eV/atom, size of the total moment 0.0 Bohr magnetons per cell.